# 1
This record from the Alexandria database describes a relaxed Li2Mg3TlPb3 crystal. The functional is PBE.

Output
total energy	-22.89	eV per cell
DFT formation energy	-0.09	eV/atom

Cell: 3.570 8.438 8.438 Å, 120.00 90.00 90.00°
Atoms (fractional coordinates):
Li  0.500  0.667  0.333
Li  0.500  0.333  0.667
Mg  0.500  0.711  0.000
Mg  0.500  0.000  0.711
Mg  0.500  0.289  0.289
Tl  0.000  0.000  0.000
Pb  0.000  0.605  0.605
Pb  0.000  0.000  0.395
Pb  0.000  0.395  0.000

# 2
This record from the Alexandria database describes a relaxed LiYMg2Pb crystal. The functional is PBE.

Output
total energy	-14.48	eV per cell
DFT formation energy	0.16	eV/atom

Cell: 4.871 4.871 5.316 Å, 90.00 90.00 90.00°
Atoms (fractional coordinates):
Pb  0.500  0.500  0.500
Y  0.000  0.000  0.500
Mg  0.000  0.500  0.000
Mg  0.500  0.000  0.000
Li  0.000  0.000  0.000

# 3
This record from the Alexandria database describes a relaxed Li2Mg3ZnPb3 crystal. The functional is PBE.

Output
total energy	-22.16	eV per cell
DFT formation energy	-0.13	eV/atom

Cell: 3.581 8.097 8.097 Å, 120.00 90.00 90.00°
Atoms (fractional coordinates):
Li  0.500  0.667  0.333
Li  0.500  0.333  0.667
Mg  0.500  0.737  0.000
Mg  0.500  0.000  0.737
Mg  0.500  0.263  0.263
Zn  0.000  0.000  0.000
Pb  0.000  0.614  0.614
Pb  0.000  0.000  0.386
Pb  0.000  0.386  0.000

# 4
This record from the Alexandria database describes a relaxed LiMgZrPb2 crystal. The functional is PBE.

Output
total energy	-17.34	eV per cell
DFT formation energy	0.43	eV/atom

Cell: 5.626 5.626 5.697 Å, 90.00 90.00 90.00°
Atoms (fractional coordinates):
Pb  0.000  0.500  0.000
Pb  0.500  0.000  0.000
Mg  0.000  0.000  0.500
Zr  0.000  0.000  0.000
Li  0.500  0.500  0.500

# 5
This record from the Alexandria database describes a relaxed Li7MgPd2 crystal. The functional is PBE.

Output
total energy	-25.46	eV per cell
DFT formation energy	-0.01	eV/atom

Cell: 4.769 7.058 7.058 Å, 113.09 90.00 90.00°
Atoms (fractional coordinates):
Li  0.000  0.666  0.334
Li  0.000  0.334  0.666
Li  0.500  0.071  0.323
Li  0.500  0.929  0.677
Li  0.500  0.323  0.071
Li  0.500  0.677  0.929
Li  0.500  0.500  0.500
Mg  0.000  0.000  0.000
Pd  0.500  0.710  0.290
Pd  0.500  0.290  0.710

# 6
This record from the Alexandria database describes a relaxed Li12Mg7Pd crystal. The functional is PBE.

Output
total energy	-31.52	eV per cell
DFT formation energy	0.39	eV/atom

Cell: 8.843 8.843 8.843 Å, 109.47 109.47 109.47°
Atoms (fractional coordinates):
Li  0.400  0.647  0.753
Li  0.894  0.647  0.247
Li  0.600  0.353  0.247
Li  0.106  0.353  0.753
Li  0.753  0.106  0.353
Li  0.753  0.400  0.647
Li  0.247  0.894  0.647
Li  0.247  0.600  0.353
Li  0.647  0.753  0.400
Li  0.353  0.247  0.600
Li  0.647  0.247  0.894
Li  0.353  0.753  0.106
Mg  0.500  0.500  0.000
Mg  0.000  0.500  0.500
Mg  0.500  0.000  0.500
Mg  0.500  0.500  0.500
Mg  0.000  0.000  0.500
Mg  0.500  0.000  0.000
Mg  0.000  0.500  0.000
Pd  0.000  0.000  0.000

# 7
This record from the Alexandria database describes a relaxed LiMg3Pd2 crystal. The functional is PBE.

Output
total energy	-40.57	eV per cell
DFT formation energy	-0.53	eV/atom

Cell: 4.555 6.432 7.961 Å, 113.83 106.62 90.00°
Atoms (fractional coordinates):
Li  0.000  0.500  0.000
Li  0.000  0.000  0.000
Mg  0.500  0.250  0.000
Mg  0.500  0.750  0.000
Mg  0.823  0.073  0.646
Mg  0.177  0.427  0.354
Mg  0.177  0.927  0.354
Mg  0.823  0.573  0.646
Pd  0.341  0.341  0.682
Pd  0.659  0.159  0.318
Pd  0.341  0.841  0.682
Pd  0.659  0.659  0.318

# 8
This record from the Alexandria database describes a relaxed Li2Mg2Pd crystal. The functional is PBE.

Output
total energy	-25.54	eV per cell
DFT formation energy	-0.11	eV/atom

Cell: 6.813 6.813 4.310 Å, 90.00 90.00 90.00°
Atoms (fractional coordinates):
Mg  0.349  0.849  0.000
Mg  0.849  0.651  0.000
Mg  0.651  0.151  0.000
Mg  0.151  0.349  0.000
Pd  0.000  0.000  0.000
Pd  0.500  0.500  0.000
Li  0.167  0.667  0.500
Li  0.667  0.833  0.500
Li  0.833  0.333  0.500
Li  0.333  0.167  0.500

# 9
This record from the Alexandria database describes a relaxed LiMg5Pd6 crystal. The functional is PBE.

Output
total energy	-49.36	eV per cell
DFT formation energy	-0.69	eV/atom

Cell: 4.558 7.810 7.810 Å, 121.97 106.88 106.88°
Atoms (fractional coordinates):
Mg  0.500  0.167  0.833
Mg  0.000  0.334  0.666
Mg  0.500  0.500  0.500
Mg  0.000  0.666  0.334
Mg  0.500  0.833  0.167
Pd  0.248  0.082  0.414
Pd  0.752  0.586  0.918
Pd  0.746  0.246  0.246
Pd  0.254  0.754  0.754
Pd  0.248  0.414  0.082
Pd  0.752  0.918  0.586
Li  0.000  0.000  0.000

# 10
This record from the Alexandria database describes a relaxed Li3Mg3Pd crystal. The functional is PBE.

Output
total energy	-34.27	eV per cell
DFT formation energy	-0.20	eV/atom

Cell: 4.730 7.996 7.996 Å, 120.00 90.00 90.00°
Atoms (fractional coordinates):
Li  0.750  0.892  0.446
Li  0.750  0.554  0.108
Li  0.750  0.554  0.446
Li  0.250  0.108  0.554
Li  0.250  0.446  0.892
Li  0.250  0.446  0.554
Mg  0.750  0.720  0.860
Mg  0.750  0.140  0.280
Mg  0.750  0.140  0.860
Mg  0.250  0.280  0.140
Mg  0.250  0.860  0.720
Mg  0.250  0.860  0.140
Pd  0.750  0.333  0.667
Pd  0.250  0.667  0.333

# 11
This record from the Alexandria database describes a relaxed Li2Mg3Pd3 crystal. The functional is PBE.

Output
total energy	-28.64	eV per cell
DFT formation energy	-0.56	eV/atom

Cell: 3.204 4.453 9.490 Å, 76.76 80.15 90.13°
Atoms (fractional coordinates):
Li  0.756  0.757  0.488
Li  0.244  0.243  0.512
Mg  0.878  0.382  0.242
Mg  0.122  0.618  0.758
Mg  0.000  0.000  0.000
Pd  0.373  0.877  0.253
Pd  0.500  0.500  0.000
Pd  0.627  0.123  0.747

# 12
This record from the Alexandria database describes a relaxed Li3Mg2Pd8 crystal. The functional is PBE.

Output
total energy	-54.67	eV per cell
DFT formation energy	-0.32	eV/atom

Cell: 4.488 5.948 8.327 Å, 110.92 90.00 90.00°
Atoms (fractional coordinates):
Li  0.500  0.000  0.000
Li  0.000  0.280  0.000
Li  0.000  0.720  0.000
Mg  0.500  0.241  0.482
Mg  0.500  0.759  0.518
Pd  0.000  0.655  0.310
Pd  0.000  0.345  0.690
Pd  0.000  0.134  0.268
Pd  0.000  0.866  0.732
Pd  0.500  0.618  0.781
Pd  0.500  0.162  0.781
Pd  0.500  0.838  0.219
Pd  0.500  0.382  0.219